(1)
## Ce2InHg (PBE)

Data for Ce2InHg after structural relaxation.

The structure belongs to space group P4/mmm (No. 123); the cell edges are 4.694, 4.694 and 4.766 Å and the angles 90.00°, 90.00° and 90.00°. The distinct sites, in fractional coordinates, are Ce at (0.000, 0.500, 0.000), In at (0.000, 0.000, 0.500) and Hg at (0.500, 0.500, 0.500).

***

(2)
## Ce2In3Hg (PBE)

Data for Ce2In3Hg after structural relaxation.

The structure belongs to space group Fmmm (No. 69); the cell edges are 7.121, 10.157 and 17.560 Å and the angles 90.00°, 90.00° and 90.00°. The distinct sites, in fractional coordinates, are Ce at (0.245, 0.000, 0.000), Ce at (0.250, 0.250, 0.250), In at (0.000, 0.000, 0.333), In at (0.000, 0.250, 0.084) and Hg at (0.000, 0.000, 0.167).

***

(3)
## Ce5In3Hg3 (PBE)

Data for Ce5In3Hg3 after structural relaxation.

The structure belongs to space group P-62m (No. 189); the cell edges are 10.4416, 10.4416 and 3.3511 Å and the angles 90.00°, 90.00° and 120.00°. The distinct sites, in fractional coordinates, are Ce at (0.0000, 0.3537, 0.0000), Ce at (0.3333, 0.6667, 0.0000), In at (0.0000, 0.8374, 0.0000) and Hg at (0.0000, 0.6061, 0.5000).

***

(4)
## Ce6InHg5 (PBE)

Data for Ce6InHg5 after structural relaxation.

The structure belongs to space group C2/m (No. 12); the cell edges are 17.017, 7.757 and 5.387 Å and the angles 90.00°, 108.22° and 90.00°. The distinct sites, in fractional coordinates, are Ce at (0.000, 0.248, 0.000), Ce at (0.167, 0.249, 0.668), In at (0.000, 0.500, 0.500), Hg at (0.000, 0.000, 0.500), Hg at (0.165, 0.500, 0.166) and Hg at (0.167, 0.000, 0.167).

***

(5)
## Ce8In2Hg (PBE)

Data for Ce8In2Hg after structural relaxation.

The structure belongs to space group C2/m (No. 12); the cell edges are 8.539, 14.143 and 5.783 Å and the angles 90.00°, 114.16° and 90.00°. The distinct sites, in fractional coordinates, are Ce at (0.000, 0.227, 0.000), Ce at (0.100, 0.500, 0.860), Ce at (0.179, 0.096, 0.587), In at (0.000, 0.311, 0.500) and Hg at (0.000, 0.000, 0.000).

***

(6)
## Ce6InHg (PBE)

Data for Ce6InHg after structural relaxation.

The structure belongs to space group C2/m (No. 12); the cell edges are 7.444, 11.128 and 6.459 Å and the angles 90.00°, 124.90° and 90.00°. The distinct sites, in fractional coordinates, are Ce at (0.031, 0.000, 0.316), Ce at (0.054, 0.251, 0.763), In at (0.000, 0.500, 0.000) and Hg at (0.000, 0.500, 0.500).

***

Results for M_tot: 1.6; 2.4; 7.9; 8.4; 4.4; 0.9 (in μB/f.u., following the order of the records).
Results for final energy: -16.21; -180.08; -37.93; -86.59; -107.98; -76.09 (in eV/cell, following the order of the records).